(1)
Computed, not measured: an optimized crystal structure of Sm2H2Pb at the PBE level of DFT.

Computed properties:
For the excess energy over the best structure of this formula in the dataset, the calculation gives 0.000 eV/atom. The space group is No. 139. The value obtained for the volume is 93.9 Å³/cell. The magnetization comes out at 0.00 μB/f.u.

a = 4.115 Å, b = 4.115 Å, c = 6.262 Å
α = 109.18°, β = 109.18°, γ = 90.00°
Atoms (fractional coordinates):
Pb: 0.000 0.000 0.000
H: 0.750 0.250 0.500
Sm: 0.346 0.346 0.692
Sm: 0.654 0.654 0.308
H: 0.250 0.750 0.500


(2)
Computed, not measured: an optimized crystal structure of KSi2Mo at the PBE level of DFT.

Computed properties:
For the excess energy over the best structure of this formula in the dataset, the calculation gives 0.590 eV/atom. The space group is No. 71. The value obtained for the volume is 96.9 Å³/cell. The magnetization comes out at 0.00 μB/f.u.

a = 6.508 Å, b = 6.508 Å, c = 6.508 Å
α = 156.52°, β = 117.20°, γ = 68.02°
Atoms (fractional coordinates):
Mo: 0.250 0.750 0.500
K: 0.750 0.250 0.500
Si: 0.448 0.448 0.000
Si: 0.052 0.052 0.000


(3)
Computed, not measured: an optimized crystal structure of PrGdTl2 at the PBE level of DFT.

Computed properties:
For the excess energy over the best structure of this formula in the dataset, the calculation gives 0.000 eV/atom. The space group is No. 123. The value obtained for the volume is 116.7 Å³/cell. The magnetization comes out at 7.24 μB/f.u.

a = 3.858 Å, b = 3.858 Å, c = 7.837 Å
α = 90.00°, β = 90.00°, γ = 90.00°
Site moments in Bohr magnetons follow the coordinates.
Atoms (fractional coordinates):
Tl: 0.000 0.000 0.241  -0.02
Tl: 0.000 0.000 0.759  -0.02
Gd: 0.500 0.500 0.000  7.13
Pr: 0.500 0.500 0.500  -0.03


(4)
Computed, not measured: an optimized crystal structure of Pa3Ga3Au2 at the PBE level of DFT.

Computed properties:
The space group is No. 63. The value obtained for the volume is 340.9 Å³/cell. The magnetization comes out at 0.00 μB/f.u. For the final energy, the calculation gives -5.887 eV per atom.

a = 4.446 Å, b = 5.725 Å, c = 14.536 Å
α = 90.00°, β = 90.00°, γ = 112.85°
Atoms (fractional coordinates):
Ga: 0.608 0.216 0.040
Au: 0.789 0.578 0.898
Ga: 0.634 0.267 0.750
Pa: 0.916 0.832 0.385
Au: 0.211 0.422 0.398
Ga: 0.392 0.784 0.960
Pa: 0.648 0.296 0.250
Pa: 0.084 0.168 0.885
Ga: 0.392 0.784 0.540
Ga: 0.608 0.216 0.460
Pa: 0.084 0.168 0.615
Pa: 0.352 0.704 0.750
Au: 0.211 0.422 0.102
Pa: 0.916 0.832 0.115
Au: 0.789 0.578 0.602
Ga: 0.366 0.733 0.250


(5)
Computed, not measured: an optimized crystal structure of BaLiI at the PBE level of DFT.

Computed properties:
For the excess energy over the best structure of this formula in the dataset, the calculation gives 0.054 eV/atom. The space group is No. 187. The value obtained for the volume is 103.3 Å³/cell. The magnetization comes out at 0.00 μB/f.u.

a = 4.752 Å, b = 5.011 Å, c = 5.011 Å
α = 120.00°, β = 90.00°, γ = 90.00°
Atoms (fractional coordinates):
Li: 0.166 0.000 0.000
I: 0.167 0.333 0.667
Ba: 0.667 0.667 0.333


(6)
Computed, not measured: an optimized crystal structure of DyPbO3 at the PBE level of DFT.

Computed properties:
The space group is No. 63. The value obtained for the volume is 155.2 Å³/cell. The magnetization comes out at 0.00 μB/f.u. For the final energy, the calculation gives -6.810 eV per atom.

a = 3.706 Å, b = 5.903 Å, c = 7.332 Å
α = 90.00°, β = 104.64°, γ = 90.00°
Atoms (fractional coordinates):
Dy: 0.307 0.750 0.613
Pb: 0.941 0.250 0.882
O: 0.528 0.250 0.057
Dy: 0.693 0.250 0.387
O: 0.823 0.501 0.647
O: 0.472 0.750 0.943
O: 0.177 0.001 0.353
Pb: 0.059 0.750 0.118
O: 0.177 0.499 0.353
O: 0.823 0.999 0.647


(7)
Computed, not measured: an optimized crystal structure of MgSn6Pb2 at the PBE level of DFT.

Computed properties:
The space group is No. 191. The value obtained for the volume is 251.2 Å³/cell. The magnetization comes out at 0.00 μB/f.u. For the final energy, the calculation gives -3.633 eV per atom.

a = 9.446 Å, b = 9.446 Å, c = 3.251 Å
α = 90.00°, β = 90.00°, γ = 120.00°
Atoms (fractional coordinates):
Sn: 0.329 0.329 0.500
Pb: 0.667 0.333 0.000
Sn: 0.329 0.000 0.500
Sn: 0.000 0.329 0.500
Mg: 0.000 0.000 0.000
Sn: 0.000 0.671 0.500
Sn: 0.671 0.000 0.500
Pb: 0.333 0.667 0.000
Sn: 0.671 0.671 0.500


(8)
Computed, not measured: an optimized crystal structure of AcPmGe2Pd2 at the PBE level of DFT.

Computed properties:
The space group is No. 164. The value obtained for the volume is 140.4 Å³/cell. The magnetization comes out at 0.00 μB/f.u. For the final energy, the calculation gives -5.644 eV per atom.

a = 4.385 Å, b = 4.385 Å, c = 8.435 Å
α = 90.00°, β = 90.00°, γ = 120.00°
Atoms (fractional coordinates):
Ge: 0.333 0.667 0.266
Pm: 0.000 0.000 0.500
Pd: 0.667 0.333 0.269
Ge: 0.667 0.333 0.734
Pd: 0.333 0.667 0.731
Ac: 0.000 0.000 0.000


(9)
Computed, not measured: an optimized crystal structure of Fe2CoAu at the PBE level of DFT.

Computed properties:
For the excess energy over the best structure of this formula in the dataset, the calculation gives 0.084 eV/atom. The space group is No. 65. The value obtained for the volume is 53.6 Å³/cell. The magnetization comes out at 7.12 μB/f.u.

a = 4.495 Å, b = 4.495 Å, c = 2.786 Å
α = 90.00°, β = 90.00°, γ = 107.63°
Site moments in Bohr magnetons follow the coordinates.
Atoms (fractional coordinates):
Fe: 0.500 0.500 0.000  2.76
Fe: 0.000 0.000 0.000  2.76
Au: 0.500 0.000 0.500  0.04
Co: 0.000 0.500 0.500  1.64


(10)
Computed, not measured: an optimized crystal structure of Pa3Ga5 at the PBE level of DFT.

Computed properties:
For the excess energy over the best structure of this formula in the dataset, the calculation gives 0.015 eV/atom. The space group is No. 65. The value obtained for the volume is 165.6 Å³/cell. The magnetization comes out at 0.00 μB/f.u.

a = 4.332 Å, b = 6.182 Å, c = 6.182 Å
α = 89.63°, β = 90.00°, γ = 90.00°
Atoms (fractional coordinates):
Ga: 0.000 0.500 0.000
Ga: 0.500 0.253 0.253
Pa: 0.000 0.500 0.500
Pa: 0.500 0.240 0.760
Pa: 0.500 0.760 0.240
Ga: 0.000 0.000 0.500
Ga: 0.500 0.747 0.747
Ga: 0.000 0.000 0.000


(11)
Computed, not measured: an optimized crystal structure of Li2Er3Pt6 at the PBE level of DFT.

Computed properties:
The space group is No. 229. The value obtained for the volume is 420.1 Å³/cell. The magnetization comes out at 0.00 μB/f.u. For the final energy, the calculation gives -5.843 eV per atom.

a = 8.172 Å, b = 8.172 Å, c = 8.172 Å
α = 109.47°, β = 109.47°, γ = 109.47°
Atoms (fractional coordinates):
Er: 0.305 0.305 0.000
Pt: 0.334 0.666 0.000
Pt: 0.000 0.334 0.666
Er: 0.695 0.695 0.000
Pt: 0.666 0.334 0.000
Pt: 0.666 0.666 0.332
Er: 0.000 0.305 0.305
Pt: 0.000 0.666 0.334
Pt: 0.666 0.332 0.666
Pt: 0.666 0.000 0.334
Er: 0.000 0.695 0.695
Pt: 0.334 0.334 0.668
Pt: 0.668 0.334 0.334
Pt: 0.334 0.000 0.666
Li: 0.000 0.500 0.000
Er: 0.305 0.000 0.305
Li: 0.500 0.500 0.500
Pt: 0.332 0.666 0.666
Li: 0.500 0.000 0.000
Pt: 0.334 0.668 0.334
Li: 0.000 0.000 0.500
Er: 0.695 0.000 0.695


(12)
Computed, not measured: an optimized crystal structure of LiReAgBr6 at the PBE level of DFT.

Computed properties:
The space group is No. 163. The value obtained for the volume is 491.5 Å³/cell. The magnetization comes out at 3.00 μB/f.u. For the final energy, the calculation gives -3.564 eV per atom.

a = 6.746 Å, b = 6.746 Å, c = 12.472 Å
α = 90.00°, β = 90.00°, γ = 120.00°
Site moments in Bohr magnetons follow the coordinates.
Atoms (fractional coordinates):
Ag: 0.000 0.000 0.500  0.03
Re: 0.333 0.667 0.750  2.19
Br: 0.346 0.366 0.868  0.05
Br: 0.980 0.346 0.132  0.05
Br: 0.366 0.020 0.132  0.05
Br: 0.654 0.634 0.132  0.05
Br: 0.020 0.654 0.868  0.05
Br: 0.346 0.980 0.632  0.05
Br: 0.980 0.634 0.368  0.05
Br: 0.654 0.020 0.368  0.05
Li: 0.333 0.667 0.250  0.01
Br: 0.634 0.980 0.868  0.05
Re: 0.667 0.333 0.250  2.19
Br: 0.634 0.654 0.632  0.05
Ag: 0.000 0.000 0.000  0.03
Li: 0.667 0.333 0.750  0.01
Br: 0.020 0.366 0.632  0.05
Br: 0.366 0.346 0.368  0.05


(13)
Computed, not measured: an optimized crystal structure of ZnRe2As at the PBE level of DFT.

Computed properties:
For the excess energy over the best structure of this formula in the dataset, the calculation gives 0.038 eV/atom. The space group is No. 99. The value obtained for the volume is 60.2 Å³/cell. The magnetization comes out at 0.00 μB/f.u.

a = 3.060 Å, b = 3.060 Å, c = 6.432 Å
α = 90.00°, β = 90.00°, γ = 90.00°
Atoms (fractional coordinates):
Re: 0.000 0.000 0.991
Re: 0.500 0.500 0.250
Zn: 0.000 0.000 0.495
As: 0.500 0.500 0.764


(14)
Computed, not measured: an optimized crystal structure of CaScAl2Ga2 at the PBE level of DFT.

Computed properties:
The space group is No. 164. The value obtained for the volume is 120.9 Å³/cell. The magnetization comes out at 0.00 μB/f.u. For the final energy, the calculation gives -4.066 eV per atom.

a = 4.422 Å, b = 4.422 Å, c = 7.138 Å
α = 90.00°, β = 90.00°, γ = 120.00°
Atoms (fractional coordinates):
Sc: 0.000 0.000 0.500
Ga: 0.333 0.667 0.271
Al: 0.667 0.333 0.283
Ga: 0.667 0.333 0.729
Al: 0.333 0.667 0.717
Ca: 0.000 0.000 0.000


(15)
Computed, not measured: an optimized crystal structure of Sr3Tl5F12 at the PBE level of DFT.

Computed properties:
The space group is No. 230. The value obtained for the volume is 1656.2 Å³/cell. The magnetization comes out at 0.00 μB/f.u. For the final energy, the calculation gives -4.543 eV per atom.

a = 12.910 Å, b = 12.910 Å, c = 12.910 Å
α = 109.47°, β = 109.47°, γ = 109.47°
Atoms (fractional coordinates):
F: 0.429 0.362 0.596
F: 0.167 0.071 0.933
Tl: 0.000 0.000 0.000
F: 0.833 0.904 0.265
F: 0.404 0.265 0.333
F: 0.433 0.667 0.071
Sr: 0.375 0.625 0.250
Tl: 0.625 0.875 0.250
F: 0.429 0.067 0.333
F: 0.362 0.933 0.765
Tl: 0.250 0.375 0.625
Tl: 0.750 0.625 0.375
F: 0.333 0.567 0.429
F: 0.567 0.235 0.138
Sr: 0.375 0.750 0.625
F: 0.071 0.167 0.433
F: 0.265 0.862 0.933
Tl: 0.375 0.125 0.750
Tl: 0.750 0.125 0.875
Sr: 0.750 0.875 0.625
Sr: 0.250 0.125 0.375
F: 0.596 0.735 0.667
F: 0.735 0.138 0.067
Tl: 0.000 0.500 0.000
Sr: 0.125 0.250 0.875
F: 0.433 0.765 0.862
Tl: 0.875 0.250 0.625
F: 0.138 0.735 0.567
F: 0.904 0.071 0.638
Tl: 0.000 0.000 0.500
Sr: 0.875 0.125 0.250
F: 0.071 0.904 0.138
Tl: 0.500 0.000 0.000
F: 0.862 0.265 0.433
F: 0.265 0.404 0.833
F: 0.404 0.138 0.571
F: 0.933 0.571 0.167
F: 0.667 0.235 0.596
F: 0.567 0.333 0.929
F: 0.333 0.765 0.404
Tl: 0.250 0.875 0.125
F: 0.638 0.571 0.904
F: 0.929 0.833 0.567
F: 0.067 0.429 0.833
F: 0.096 0.167 0.235
Tl: 0.375 0.250 0.125
F: 0.235 0.567 0.638
F: 0.833 0.929 0.067
Sr: 0.625 0.250 0.375
F: 0.667 0.433 0.571
F: 0.571 0.638 0.404
F: 0.904 0.833 0.765
Sr: 0.125 0.875 0.750
F: 0.571 0.933 0.667
F: 0.933 0.362 0.265
Sr: 0.625 0.375 0.750
Tl: 0.125 0.750 0.375
F: 0.638 0.067 0.235
Tl: 0.500 0.500 0.500
F: 0.862 0.596 0.929
F: 0.362 0.429 0.096
Tl: 0.625 0.750 0.875
Tl: 0.875 0.625 0.750
F: 0.096 0.929 0.362
F: 0.765 0.333 0.904
F: 0.929 0.096 0.862
F: 0.138 0.404 0.071
Tl: 0.500 0.500 0.000
Tl: 0.500 0.000 0.500
F: 0.235 0.667 0.096
F: 0.167 0.096 0.735
F: 0.067 0.638 0.735
Sr: 0.875 0.750 0.125
Sr: 0.250 0.625 0.875
Tl: 0.000 0.500 0.500
Sr: 0.750 0.375 0.125
F: 0.765 0.433 0.362
F: 0.596 0.862 0.429
F: 0.735 0.596 0.167
Tl: 0.125 0.375 0.250


(16)
Computed, not measured: an optimized crystal structure of SmAgPb2Se4 at the PBE level of DFT.

Computed properties:
The space group is No. 10. The value obtained for the volume is 220.7 Å³/cell. The magnetization comes out at 0.00 μB/f.u. For the final energy, the calculation gives -4.453 eV per atom.

a = 4.268 Å, b = 7.527 Å, c = 7.291 Å
α = 70.39°, β = 90.00°, γ = 90.00°
Atoms (fractional coordinates):
Pb: 0.500 0.000 0.500
Ag: 0.500 0.500 0.000
Sm: 0.000 0.500 0.500
Pb: 0.000 0.000 0.000
Se: 0.000 0.271 0.242
Se: 0.500 0.735 0.258
Se: 0.500 0.265 0.742
Se: 0.000 0.729 0.758


(17)
Computed, not measured: an optimized crystal structure of BaBeRe2 at the PBE level of DFT.

Computed properties:
The space group is No. 123. The value obtained for the volume is 76.3 Å³/cell. The magnetization comes out at 0.00 μB/f.u. For the final energy, the calculation gives -6.869 eV per atom.

a = 3.131 Å, b = 3.131 Å, c = 7.777 Å
α = 90.00°, β = 90.00°, γ = 90.00°
Atoms (fractional coordinates):
Ba: 0.500 0.500 0.250
Re: 0.000 0.000 0.602
Re: 0.000 0.000 0.898
Be: 0.500 0.500 0.750


(18)
Computed, not measured: an optimized crystal structure of CdAsRu2 at the PBE level of DFT.

Computed properties:
For the excess energy over the best structure of this formula in the dataset, the calculation gives 0.075 eV/atom. The space group is No. 10. The value obtained for the volume is 65.1 Å³/cell. The magnetization comes out at 0.00 μB/f.u.

a = 3.876 Å, b = 2.993 Å, c = 5.813 Å
α = 74.72°, β = 90.00°, γ = 90.00°
Atoms (fractional coordinates):
Cd: 0.500 0.750 0.750
Ru: 0.000 0.109 0.036
Ru: 0.000 0.391 0.464
As: 0.500 0.250 0.250


(19)
Computed, not measured: an optimized crystal structure of ScTc2Rh at the PBE level of DFT.

Computed properties:
For the excess energy over the best structure of this formula in the dataset, the calculation gives 0.148 eV/atom. The space group is No. 10. The value obtained for the volume is 63.4 Å³/cell. The magnetization comes out at 0.00 μB/f.u.

a = 4.760 Å, b = 2.837 Å, c = 4.734 Å
α = 82.70°, β = 90.00°, γ = 90.00°
Atoms (fractional coordinates):
Tc: 0.000 0.057 0.997
Rh: 0.500 0.250 0.250
Sc: 0.500 0.750 0.750
Tc: 0.000 0.443 0.503


(20)
Computed, not measured: an optimized crystal structure of Y3HoCd2 at the PBE level of DFT.

Computed properties:
For the excess energy over the best structure of this formula in the dataset, the calculation gives 0.023 eV/atom. The space group is No. 123. The value obtained for the volume is 170.4 Å³/cell. The magnetization comes out at 0.00 μB/f.u.

a = 3.667 Å, b = 3.667 Å, c = 12.677 Å
α = 90.00°, β = 90.00°, γ = 90.00°
Atoms (fractional coordinates):
Ho: 0.500 0.500 0.500
Y: 0.000 0.000 0.307
Y: 0.000 0.000 0.693
Y: 0.000 0.000 0.000
Cd: 0.500 0.500 0.848
Cd: 0.500 0.500 0.152